This record from Alexandria describes a crystal of BaGe2Au5 relaxed with PBEsol. The functional is meta-GGA SCAN.

Summary:
- space group = Pnma (62)
- energy relative to the elements (eV/atom) = -0.479

```
BaGe2Au5
1.0
8.932 0.000 0.000
0.000 7.108 0.000
0.000 0.000 10.489
Ba Ge Au
4 8 20
direct
0.229 0.250 0.110
0.271 0.750 0.610
0.729 0.250 0.390
0.771 0.750 0.890
0.053 0.250 0.613
0.157 0.750 0.950
0.343 0.250 0.450
0.447 0.750 0.113
0.553 0.250 0.887
0.657 0.750 0.550
0.843 0.250 0.050
0.947 0.750 0.387
0.094 0.043 0.832
0.094 0.457 0.832
0.096 0.052 0.388
0.096 0.448 0.388
0.174 0.750 0.190
0.326 0.250 0.690
0.404 0.552 0.888
0.404 0.948 0.888
0.406 0.543 0.332
0.406 0.957 0.332
0.594 0.043 0.668
0.594 0.457 0.668
0.596 0.052 0.112
0.596 0.448 0.112
0.674 0.750 0.310
0.826 0.250 0.810
0.904 0.552 0.612
0.904 0.948 0.612
0.906 0.543 0.168
0.906 0.957 0.168
```

***

This record from Alexandria describes a crystal of BaGeAu3 relaxed with PBEsol. The functional is meta-GGA SCAN.

Summary:
- space group = Pm-3m (221)
- energy relative to the elements (eV/atom) = -0.578
- ΔE to the lowest computed polymorph (eV per atom) = 0.082

```
BaGeAu3
1.0
5.001 0.000 0.000
0.000 5.001 0.000
0.000 0.000 5.001
Ba Ge Au
1 1 3
direct
0.000 0.000 0.000
0.500 0.500 0.500
0.000 0.500 0.500
0.500 0.000 0.500
0.500 0.500 0.000
```

***

This record from Alexandria describes a crystal of Ba3Ge4Au4 relaxed with PBEsol. The functional is meta-GGA SCAN.

Summary:
- space group = C2/m (12)
- energy relative to the elements (eV/atom) = -0.734

```
Ba3Ge4Au4
1.0
13.004 -2.273 0.000
13.004 2.273 0.000
-0.842 0.000 4.626
Ba Ge Au
3 4 4
direct
0.000 0.000 0.000
0.351 0.351 0.852
0.649 0.649 0.148
0.200 0.200 0.684
0.451 0.451 0.450
0.549 0.549 0.550
0.800 0.800 0.316
0.098 0.098 0.594
0.249 0.249 0.231
0.751 0.751 0.769
0.902 0.902 0.406
```

***

This record from Alexandria describes a crystal of BaGeAu3 relaxed with PBEsol. The functional is meta-GGA SCAN.

Summary:
- space group = I4mm (107)
- energy relative to the elements (eV/atom) = -0.660
- ΔE to the lowest computed polymorph (eV per atom) = 0.000

```
BaGeAu3
1.0
4.748 0.000 0.000
0.000 4.748 0.000
0.000 0.000 10.090
Ba Ge Au
2 2 6
direct
0.000 0.000 0.000
0.500 0.500 0.500
0.000 0.000 0.646
0.500 0.500 0.146
0.000 0.000 0.396
0.000 0.500 0.244
0.000 0.500 0.744
0.500 0.000 0.244
0.500 0.000 0.744
0.500 0.500 0.896
```

***

This record from Alexandria describes a crystal of BaGeHAu2 relaxed with PBEsol. The functional is meta-GGA SCAN.

Summary:
- space group = P4/mmm (123)
- raw total energy (eV/atom) = -40.133

```
BaGeHAu2
1.0
4.715 0.000 0.000
0.000 4.715 0.000
0.000 0.000 6.523
Ba Ge H Au
1 1 1 2
direct
0.000 0.000 0.000
0.000 0.000 0.500
0.500 0.500 0.000
0.000 0.500 0.500
0.500 0.000 0.500
```

***

This record from Alexandria describes a crystal of BaGe2AuI relaxed with PBEsol. The functional is meta-GGA SCAN.

Summary:
- space group = P4/mmm (123)
- formation energy (no corrections) (eV per atom) = -0.38

```
BaGe2AuI
1.0
4.880 0.000 0.000
0.000 4.880 0.000
0.000 0.000 6.773
Ba Ge Au I
1 2 1 1
direct
0.000 0.000 0.000
0.000 0.500 0.500
0.500 0.000 0.500
0.000 0.000 0.500
0.500 0.500 0.000
```